# 1
Compound: Fe2AgGe2
Source: Alexandria
Functional: PBE
Structure: relaxed

Properties
ΔE to the lowest computed polymorph: 0.390 eV per formula unit

Cell lengths 3.781, 3.781, 10.857 Å; angles 90.00, 90.00, 90.00 degrees
Space group I4/mmm (No. 139)
Asymmetric unit:
Fe1 0.000 0.500 0.250 x4
Ag1 0.000 0.000 0.000 x2
Ge1 0.000 0.000 0.387 x4


# 2
Compound: Pr6Ho3Tm2Mg
Source: Alexandria
Functional: PBE
Structure: relaxed

Cell lengths 6.257, 10.842, 11.769 Å; angles 90.00, 100.24, 90.00 degrees
Space group C2/m (No. 12)
Asymmetric unit:
Pr1 0.249 0.000 0.249 x4
Pr2 0.249 0.333 0.248 x8
Ho1 0.000 0.000 0.500 x2
Ho2 0.000 0.333 0.500 x4
Tm1 0.000 0.167 0.000 x4
Mg1 0.000 0.500 0.000 x2


Formation energy from the elements, respectively: 0.19; 0.03 eV per atom.
D(E_F), respectively: 0.591; 1.000 states/eV/atom.